First-principles (GGA-PBE) data for crystalline La8GaAu3I4 at its relaxed geometry, as listed in Alexandria via LeMat-Bulk.

Properties
The volume is 1072.0 Å³ per cell. The calculation puts the density of states at the Fermi level at 1.096 states/eV per atom. As for the size of the total moment: 0.000 μB/cell. For the formation energy from raw total energies, the calculation gives -14.1 eV/f.u.

abc: 15.476 8.922 9.325
angles: 90.00 123.63 90.00
Space group C2/m (No. 12)
One atom of each set of equivalent atoms:
La: 0.011 0.249 0.283 x8
La: 0.237 0.500 0.710 x4
La: 0.238 0.000 0.717 x4
Ga: 0.000 0.000 0.500 x2
Au: 0.000 0.500 0.500 x2
Au: 0.250 0.250 0.500 x4
I: 0.000 0.000 0.000 x2
I: 0.000 0.500 0.000 x2
I: 0.250 0.250 0.000 x4